No. 1
The following is a DFT calculation (PBE) of a relaxed K2LiW crystal.

Unit cell a=5.1795 b=5.1795 c=5.4062 alpha=90.00 beta=90.00 gamma=90.00
Closest atoms and distances in Å follow each position.
Space group P4/mmm (No. 123)
Inequivalent atoms, fractional coordinates:
1 K 0.0000 0.5000 0.0000 (multiplicity 2)  4 K 3.66, 4 Li 3.74, 4 W 3.74
2 Li 0.0000 0.0000 0.5000 (multiplicity 1)  4 W 3.66, 8 K 3.74
3 W 0.5000 0.5000 0.5000 (multiplicity 1)  4 Li 3.66, 8 K 3.74

Calculated values
**Volume**: 36.26 A^3/atom
**Relative energy among the computed polymorphs**: 40.59 kJ per mole of atoms
**Energy relative to the elements**: 1.55 eV/atom

=====

No. 2
The following is a DFT calculation (PBE) of a relaxed KLiW2 crystal.

Unit cell a=5.2379 b=11.4933 c=2.6572 alpha=90.00 beta=90.00 gamma=90.00
Closest atoms and distances in Å follow each position.
Space group Cmmm (No. 65)
Inequivalent atoms, fractional coordinates:
1 K 0.0000 0.0000 0.0000 (multiplicity 2)  2 Li 2.62, 2 K 2.66
2 Li 0.0000 0.5000 0.0000 (multiplicity 2)  2 K 2.62, 2 Li 2.66
3 W 0.2500 0.2500 0.5000 (multiplicity 4)  4 W 2.62-2.66

Calculated values
**Volume**: 20.00 A^3/atom
**Relative energy among the computed polymorphs**: 54.27 kJ per mole of atoms
**Energy relative to the elements**: 1.31 eV/atom

=====

No. 3
The following is a DFT calculation (PBE) of a relaxed K2LiW crystal.

Unit cell a=2.8598 b=6.4952 c=13.1658 alpha=90.00 beta=90.00 gamma=90.00
Closest atoms and distances in Å follow each position.
Space group Imm2 (No. 44)
Inequivalent atoms, fractional coordinates:
1 K 0.0000 0.0000 0.0000 (multiplicity 2)  2 K 2.86
2 K 0.0000 0.5000 0.2103 (multiplicity 2)  2 K 2.86
3 Li 0.0000 0.5000 0.7794 (multiplicity 2)  2 W 2.72, 2 Li 2.86
4 W 0.0000 0.0000 0.4549 (multiplicity 2)  2 Li 2.72, 2 W 2.86

Calculated values
**Volume**: 30.57 A^3/atom
**Relative energy among the computed polymorphs**: 12.56 kJ per mole of atoms
**Energy relative to the elements**: 1.25 eV/atom

=====

No. 4
The following is a DFT calculation (PBE) of a relaxed K4LiW crystal.

Unit cell a=10.4157 b=10.4157 c=10.4157 alpha=90.00 beta=90.00 gamma=90.00
Closest atoms and distances in Å follow each position.
Space group F-43m (No. 216)
Inequivalent atoms, fractional coordinates:
1 K 0.1240 0.1240 0.3760 (multiplicity 16)  6 K 3.65-3.71
2 Li 0.0000 0.0000 0.0000 (multiplicity 4)  12 K 4.32, 4 W 4.51
3 W 0.2500 0.2500 0.7500 (multiplicity 4)  12 K 4.32, 4 Li 4.51

Calculated values
**Volume**: 47.08 A^3/atom
**Energy relative to the elements**: 1.26 eV/atom

=====

No. 5
The following is a DFT calculation (PBE) of a relaxed K2LiW crystal.

Unit cell a=6.7234 b=11.7793 c=2.7831 alpha=90.00 beta=90.00 gamma=90.00
Closest atoms and distances in Å follow each position.
Space group Cmmm (No. 65)
Inequivalent atoms, fractional coordinates:
1 K 0.2500 0.2500 0.0000 (multiplicity 4)  2 K 2.78
2 Li 0.0000 0.0000 0.5000 (multiplicity 2)  2 Li 2.78
3 W 0.0000 0.5000 0.5000 (multiplicity 2)  2 W 2.78

Calculated values
**Volume**: 27.55 A^3/atom
**Relative energy among the computed polymorphs**: 21.91 kJ per mole of atoms
**Energy relative to the elements**: 1.35 eV/atom

=====

No. 6
The following is a DFT calculation (PBE) of a relaxed KLiW2 crystal.

Unit cell a=3.3023 b=3.3023 c=8.7169 alpha=90.00 beta=90.00 gamma=90.00
Closest atoms and distances in Å follow each position.
Space group P4mm (No. 99)
Inequivalent atoms, fractional coordinates:
1 K 0.0000 0.0000 0.0000 (multiplicity 1)  4 K 3.30
2 Li 0.5000 0.5000 0.3413 (multiplicity 1)  5 W 2.86-2.91
3 W 0.0000 0.0000 0.5406 (multiplicity 1)  4 W 2.59
4 W 0.5000 0.5000 0.6693 (multiplicity 1)  4 W 2.59, 1 Li 2.86

Calculated values
**Volume**: 23.76 A^3/atom
**Relative energy among the computed polymorphs**: 4.34 kJ per mole of atoms
**Energy relative to the elements**: 0.79 eV/atom